Record 1
# Zn5GaPt | Alexandria via LeMat-Bulk | GGA-PBE | optimized geometry
# energy relative to the elements: -133 meV/atom
# DFT total energy: -2.338 eV/atom
# crystal system: monoclinic
# magnetic moment: 0.00 μB per formula unit
data_Zn5GaPt
_chemical_formula_sum 'Zn20 Ga4 Pt4'
_cell_length_a 8.502
_cell_length_b 10.328
_cell_length_c 5.483
_cell_angle_alpha 90.00
_cell_angle_beta 104.76
_cell_angle_gamma 90.00
_symmetry_space_group_name_H-M 'C 1 2/c 1'
_symmetry_Int_Tables_number 15
_symmetry_space_group_name_Hall '-C 2yc'
loop_
_atom_site_label
_atom_site_type_symbol
_atom_site_fract_x
_atom_site_fract_y
_atom_site_fract_z
Zn1 Zn 0.000 0.228 0.250
Zn2 Zn 0.208 0.359 0.609
Zn3 Zn 0.232 0.367 0.091
Ga1 Ga 0.000 0.000 0.000
Pt1 Pt 0.000 0.485 0.250

---

Record 2
# ZnGaPt4 | Alexandria via LeMat-Bulk | GGA-PBE | optimized geometry
# distance to the lowest polymorph of the same formula: 72 meV per atom
# energy relative to the elements: -343 meV/atom
# DFT total energy: -5.087 eV/atom
# crystal system: tetragonal
# magnetic moment: 0.00 μB per formula unit
data_ZnGaPt4
_chemical_formula_sum 'Zn1 Ga1 Pt4'
_cell_length_a 4.155
_cell_length_b 4.155
_cell_length_c 5.859
_cell_angle_alpha 90.00
_cell_angle_beta 90.00
_cell_angle_gamma 90.00
_symmetry_space_group_name_H-M 'P 4/m m m'
_symmetry_Int_Tables_number 123
_symmetry_space_group_name_Hall '-P 4 2'
loop_
_atom_site_label
_atom_site_type_symbol
_atom_site_fract_x
_atom_site_fract_y
_atom_site_fract_z
Zn1 Zn 0.000 0.000 0.000
Ga1 Ga 0.500 0.500 0.500
Pt1 Pt 0.000 0.500 0.251

---

Record 3
# Zn3GaPt3 | Alexandria via LeMat-Bulk | GGA-PBE | optimized geometry
# energy relative to the elements: -487 meV/atom
# DFT total energy: -4.054 eV/atom
# crystal system: trigonal
# magnetic moment: 0.00 μB per formula unit
data_Zn3GaPt3
_chemical_formula_sum 'Zn9 Ga3 Pt9'
_cell_length_a 8.5743
_cell_length_b 8.5743
_cell_length_c 5.3336
_cell_angle_alpha 90.00
_cell_angle_beta 90.00
_cell_angle_gamma 120.00
_symmetry_space_group_name_H-M 'R -3 m'
_symmetry_Int_Tables_number 166
_symmetry_space_group_name_Hall '-R 3 2"'
loop_
_atom_site_label
_atom_site_type_symbol
_atom_site_fract_x
_atom_site_fract_y
_atom_site_fract_z
Zn1 Zn 0.0000 0.5000 0.0000
Ga1 Ga 0.0000 0.0000 0.0000
Pt1 Pt 0.0000 0.5000 0.5000

---

Record 4
# Zn3GaPt2 | Alexandria via LeMat-Bulk | GGA-PBE | optimized geometry
# distance to the lowest polymorph of the same formula: 54 meV per atom
# energy relative to the elements: -304 meV/atom
# DFT total energy: -3.460 eV/atom
# crystal system: orthorhombic
# magnetic moment: 0.00 μB per formula unit
data_Zn3GaPt2
_chemical_formula_sum 'Zn12 Ga4 Pt8'
_cell_length_a 5.620
_cell_length_b 13.490
_cell_length_c 5.815
_cell_angle_alpha 90.00
_cell_angle_beta 90.00
_cell_angle_gamma 90.00
_symmetry_space_group_name_H-M 'I b a m'
_symmetry_Int_Tables_number 72
_symmetry_space_group_name_Hall '-I 2 2c'
loop_
_atom_site_label
_atom_site_type_symbol
_atom_site_fract_x
_atom_site_fract_y
_atom_site_fract_z
Zn1 Zn 0.000 0.000 0.250
Zn2 Zn 0.000 0.267 0.250
Ga1 Ga 0.000 0.500 0.000
Pt1 Pt 0.206 0.133 0.000

---

Record 5
# Zn3GaPt | Alexandria via LeMat-Bulk | GGA-PBE | optimized geometry
# distance to the lowest polymorph of the same formula: 0 meV per atom
# energy relative to the elements: -200 meV/atom
# DFT total energy: -2.778 eV/atom
# crystal system: monoclinic
# magnetic moment: 0.00 μB per formula unit
data_Zn3GaPt
_chemical_formula_sum 'Zn24 Ga8 Pt8'
_cell_length_a 11.363
_cell_length_b 10.906
_cell_length_c 5.573
_cell_angle_alpha 90.00
_cell_angle_beta 97.52
_cell_angle_gamma 90.00
_symmetry_space_group_name_H-M 'C 1 2/c 1'
_symmetry_Int_Tables_number 15
_symmetry_space_group_name_Hall '-C 2yc'
loop_
_atom_site_label
_atom_site_type_symbol
_atom_site_fract_x
_atom_site_fract_y
_atom_site_fract_z
Zn1 Zn 0.129 0.025 0.482
Zn2 Zn 0.139 0.463 0.969
Zn3 Zn 0.155 0.213 0.103
Ga1 Ga 0.151 0.286 0.585
Pt1 Pt 0.000 0.145 0.750
Pt2 Pt 0.000 0.367 0.250

---

Record 6
# Zn3GaPt | Alexandria via LeMat-Bulk | GGA-PBE | optimized geometry
# distance to the lowest polymorph of the same formula: 222 meV per atom
# energy relative to the elements: 21 meV/atom
# DFT total energy: -2.557 eV/atom
# crystal system: cubic
# magnetic moment: 0.00 μB per formula unit
data_Zn3GaPt
_chemical_formula_sum 'Zn3 Ga1 Pt1'
_cell_length_a 4.852
_cell_length_b 4.852
_cell_length_c 4.852
_cell_angle_alpha 90.00
_cell_angle_beta 90.00
_cell_angle_gamma 90.00
_symmetry_space_group_name_H-M 'P m -3 m'
_symmetry_Int_Tables_number 221
_symmetry_space_group_name_Hall '-P 4 2 3'
loop_
_atom_site_label
_atom_site_type_symbol
_atom_site_fract_x
_atom_site_fract_y
_atom_site_fract_z
Zn1 Zn 0.000 0.000 0.500
Ga1 Ga 0.500 0.500 0.500
Pt1 Pt 0.000 0.000 0.000

---

Record 7
# ZnGa8Pt6 | Alexandria via LeMat-Bulk | GGA-PBE | optimized geometry
# energy relative to the elements: -605 meV/atom
# DFT total energy: -4.720 eV/atom
# crystal system: trigonal
# magnetic moment: 0.00 μB per formula unit
data_ZnGa8Pt6
_chemical_formula_sum 'Zn3 Ga24 Pt18'
_cell_length_a 7.4272
_cell_length_b 7.4272
_cell_length_c 15.8465
_cell_angle_alpha 90.00
_cell_angle_beta 90.00
_cell_angle_gamma 120.00
_symmetry_space_group_name_H-M 'R -3'
_symmetry_Int_Tables_number 148
_symmetry_space_group_name_Hall '-R 3'
loop_
_atom_site_label
_atom_site_type_symbol
_atom_site_fract_x
_atom_site_fract_y
_atom_site_fract_z
Zn1 Zn 0.0000 0.0000 0.0000
Ga1 Ga 0.0000 0.0000 0.3332
Ga2 Ga 0.0027 0.6764 0.1173
Pt1 Pt 0.0011 0.6634 0.9435

---

Record 8
# ZnGa5Pt3 | Alexandria via LeMat-Bulk | GGA-PBE | optimized geometry
# energy relative to the elements: -389 meV/atom
# DFT total energy: -4.226 eV/atom
# crystal system: monoclinic
# magnetic moment: 0.00 μB per formula unit
data_ZnGa5Pt3
_chemical_formula_sum 'Zn4 Ga20 Pt12'
_cell_length_a 11.035
_cell_length_b 8.748
_cell_length_c 9.373
_cell_angle_alpha 90.00
_cell_angle_beta 122.56
_cell_angle_gamma 90.00
_symmetry_space_group_name_H-M 'C 1 2/m 1'
_symmetry_Int_Tables_number 12
_symmetry_space_group_name_Hall '-C 2y'
loop_
_atom_site_label
_atom_site_type_symbol
_atom_site_fract_x
_atom_site_fract_y
_atom_site_fract_z
Zn1 Zn 0.104 0.000 0.318
Ga1 Ga 0.000 0.282 0.000
Ga2 Ga 0.084 0.500 0.360
Ga3 Ga 0.161 0.218 0.671
Ga4 Ga 0.236 0.000 0.023
Pt1 Pt 0.000 0.000 0.000
Pt2 Pt 0.000 0.000 0.500
Pt3 Pt 0.154 0.500 0.665
Pt4 Pt 0.170 0.500 0.165

---

Record 9
# Zn2GaPt5 | Alexandria via LeMat-Bulk | GGA-PBE | optimized geometry
# energy relative to the elements: -526 meV/atom
# DFT total energy: -4.998 eV/atom
# crystal system: orthorhombic
# magnetic moment: 0.00 μB per formula unit
data_Zn2GaPt5
_chemical_formula_sum 'Zn4 Ga2 Pt10'
_cell_length_a 5.514
_cell_length_b 10.755
_cell_length_c 4.053
_cell_angle_alpha 90.00
_cell_angle_beta 90.00
_cell_angle_gamma 90.00
_symmetry_space_group_name_H-M 'P b a m'
_symmetry_Int_Tables_number 55
_symmetry_space_group_name_Hall '-P 2 2ab'
loop_
_atom_site_label
_atom_site_type_symbol
_atom_site_fract_x
_atom_site_fract_y
_atom_site_fract_z
Zn1 Zn 0.183 0.140 0.000
Ga1 Ga 0.000 0.500 0.500
Pt1 Pt 0.000 0.000 0.500
Pt2 Pt 0.066 0.739 0.500
Pt3 Pt 0.200 0.392 0.000

---

Record 10
# ZnGa3Pt12 | Alexandria via LeMat-Bulk | GGA-PBE | optimized geometry
# energy relative to the elements: -417 meV/atom
# DFT total energy: -5.595 eV/atom
# crystal system: tetragonal
# magnetic moment: 0.00 μB per formula unit
data_ZnGa3Pt12
_chemical_formula_sum 'Zn1 Ga3 Pt12'
_cell_length_a 3.943
_cell_length_b 3.943
_cell_length_c 15.750
_cell_angle_alpha 90.00
_cell_angle_beta 90.00
_cell_angle_gamma 90.00
_symmetry_space_group_name_H-M 'P 4/m m m'
_symmetry_Int_Tables_number 123
_symmetry_space_group_name_Hall '-P 4 2'
loop_
_atom_site_label
_atom_site_type_symbol
_atom_site_fract_x
_atom_site_fract_y
_atom_site_fract_z
Zn1 Zn 0.000 0.000 0.000
Ga1 Ga 0.000 0.000 0.248
Ga2 Ga 0.000 0.000 0.500
Pt1 Pt 0.000 0.500 0.125
Pt2 Pt 0.000 0.500 0.375
Pt3 Pt 0.500 0.500 0.000
Pt4 Pt 0.500 0.500 0.250
Pt5 Pt 0.500 0.500 0.500

---

> The highest DFT total energy belongs to which entry?

Zn5GaPt

---

Please write out number 3 again, unchanged.
# Zn3GaPt3 | Alexandria via LeMat-Bulk | GGA-PBE | optimized geometry
# energy relative to the elements: -487 meV/atom
# DFT total energy: -4.054 eV/atom
# crystal system: trigonal
# magnetic moment: 0.00 μB per formula unit
data_Zn3GaPt3
_chemical_formula_sum 'Zn9 Ga3 Pt9'
_cell_length_a 8.5743
_cell_length_b 8.5743
_cell_length_c 5.3336
_cell_angle_alpha 90.00
_cell_angle_beta 90.00
_cell_angle_gamma 120.00
_symmetry_space_group_name_H-M 'R -3 m'
_symmetry_Int_Tables_number 166
_symmetry_space_group_name_Hall '-R 3 2"'
loop_
_atom_site_label
_atom_site_type_symbol
_atom_site_fract_x
_atom_site_fract_y
_atom_site_fract_z
Zn1 Zn 0.0000 0.5000 0.0000
Ga1 Ga 0.0000 0.0000 0.0000
Pt1 Pt 0.0000 0.5000 0.5000

---

Repeat the fourth record exactly.
# Zn3GaPt2 | Alexandria via LeMat-Bulk | GGA-PBE | optimized geometry
# distance to the lowest polymorph of the same formula: 54 meV per atom
# energy relative to the elements: -304 meV/atom
# DFT total energy: -3.460 eV/atom
# crystal system: orthorhombic
# magnetic moment: 0.00 μB per formula unit
data_Zn3GaPt2
_chemical_formula_sum 'Zn12 Ga4 Pt8'
_cell_length_a 5.620
_cell_length_b 13.490
_cell_length_c 5.815
_cell_angle_alpha 90.00
_cell_angle_beta 90.00
_cell_angle_gamma 90.00
_symmetry_space_group_name_H-M 'I b a m'
_symmetry_Int_Tables_number 72
_symmetry_space_group_name_Hall '-I 2 2c'
loop_
_atom_site_label
_atom_site_type_symbol
_atom_site_fract_x
_atom_site_fract_y
_atom_site_fract_z
Zn1 Zn 0.000 0.000 0.250
Zn2 Zn 0.000 0.267 0.250
Ga1 Ga 0.000 0.500 0.000
Pt1 Pt 0.206 0.133 0.000

---

What did the tenth record say?
# ZnGa3Pt12 | Alexandria via LeMat-Bulk | GGA-PBE | optimized geometry
# energy relative to the elements: -417 meV/atom
# DFT total energy: -5.595 eV/atom
# crystal system: tetragonal
# magnetic moment: 0.00 μB per formula unit
data_ZnGa3Pt12
_chemical_formula_sum 'Zn1 Ga3 Pt12'
_cell_length_a 3.943
_cell_length_b 3.943
_cell_length_c 15.750
_cell_angle_alpha 90.00
_cell_angle_beta 90.00
_cell_angle_gamma 90.00
_symmetry_space_group_name_H-M 'P 4/m m m'
_symmetry_Int_Tables_number 123
_symmetry_space_group_name_Hall '-P 4 2'
loop_
_atom_site_label
_atom_site_type_symbol
_atom_site_fract_x
_atom_site_fract_y
_atom_site_fract_z
Zn1 Zn 0.000 0.000 0.000
Ga1 Ga 0.000 0.000 0.248
Ga2 Ga 0.000 0.000 0.500
Pt1 Pt 0.000 0.500 0.125
Pt2 Pt 0.000 0.500 0.375
Pt3 Pt 0.500 0.500 0.000
Pt4 Pt 0.500 0.500 0.250
Pt5 Pt 0.500 0.500 0.500